## 1
LaSm2Y4 GGA-PBE relaxed; space group = R-3m, No. 166
1.0
3.583 0.000 0.000
1.792 3.103 0.000
1.792 1.034 21.286
Y La Sm
4 1 2
Direct
0.712 0.712 0.863
0.856 0.856 0.432
0.144 0.144 0.568
0.288 0.288 0.137
0.000 0.000 0.000
0.766 0.766 0.702
0.234 0.234 0.298

=====

## 2
LaSm2Y4 GGA-PBE relaxed; space group = P1, No. 1
1.0
7.913 2.242 -2.041
-2.725 9.054 -1.816
-0.318 -0.187 6.179
Sm La Y
4 2 8
Direct
0.684 0.449 0.352
0.154 0.299 0.693
0.413 0.873 0.047
0.882 0.387 0.945
0.992 0.030 0.958
0.206 0.934 0.491
0.259 0.577 0.235
0.359 0.228 0.287
0.553 0.156 0.847
0.829 0.742 0.148
0.042 0.656 0.695
0.622 0.802 0.593
0.771 0.097 0.414
0.483 0.521 0.796

=====

Which of them is most stable, and which least? Most stable: 2; least stable: 1.

=====

## 1
La5SmY3 GGA-PBE relaxed; space group = I4/mcm, No. 140
1.0
9.401 0.000 0.000
0.000 9.401 0.000
-4.701 -4.701 7.322
La Y Sm
10 6 2
Direct
0.437 0.336 0.273
0.164 0.063 0.727
0.664 0.164 0.727
0.836 0.937 0.273
0.063 0.563 0.727
0.500 0.500 0.000
0.000 0.000 0.000
0.937 0.437 0.273
0.336 0.836 0.273
0.563 0.664 0.727
0.611 0.111 0.000
0.389 0.889 0.000
0.111 0.389 0.000
0.750 0.750 0.500
0.889 0.611 0.000
0.250 0.250 0.500
0.250 0.750 0.500
0.750 0.250 0.500

=====

## 2
La5SmY3 GGA-PBE relaxed; space group = C2/c, No. 15
1.0
3.285 11.418 1.479
-3.285 11.418 1.479
0.000 6.417 9.581
Sm Y La
2 6 10
Direct
0.869 0.131 0.750
0.131 0.869 0.250
0.551 0.131 0.803
0.449 0.869 0.197
0.000 0.000 0.500
0.131 0.551 0.303
0.869 0.449 0.697
0.000 0.000 0.000
0.538 0.121 0.129
0.352 0.987 0.523
0.879 0.462 0.371
0.121 0.538 0.629
0.648 0.013 0.477
0.013 0.648 0.977
0.591 0.409 0.250
0.462 0.879 0.871
0.409 0.591 0.750
0.987 0.352 0.023

=====

Which of them is most stable, and which least? Most stable: 2; least stable: 1.

=====

## 1
La3SmY2 GGA-PBE relaxed; space group = C2/m, No. 12
1.0
6.375 0.000 -0.036
3.187 5.524 -0.018
2.192 0.000 11.787
La Y Sm
6 4 2
Direct
0.417 0.666 0.749
0.084 0.334 0.749
0.250 0.000 0.251
0.750 0.000 0.749
0.916 0.666 0.251
0.583 0.334 0.251
0.167 0.667 0.500
0.000 0.000 0.000
0.833 0.333 0.500
0.500 0.000 0.500
0.667 0.666 0.000
0.333 0.334 0.000

=====

## 2
La3SmY2 GGA-PBE relaxed; space group = C2/c, No. 15
1.0
-0.009 6.249 1.043
-3.447 2.912 -4.447
-7.289 -5.647 7.996
Y La Sm
4 6 2
Direct
0.959 0.709 0.918
0.291 0.041 0.582
0.041 0.291 0.082
0.709 0.959 0.418
0.375 0.625 0.750
0.625 0.375 0.250
0.792 0.541 0.583
0.459 0.208 0.917
0.541 0.792 0.083
0.208 0.459 0.417
0.125 0.875 0.250
0.875 0.125 0.750

=====

Which of them is most stable, and which least? Most stable: 1; least stable: 2.

=====

## 1
La6Sm2Y GGA-PBE relaxed; space group = P-6m2, No. 187
1.0
-1.993 2.916 1.030
0.668 -2.710 2.397
23.104 12.912 8.158
Y La Sm
1 6 2
Direct
0.333 0.667 0.000
0.333 0.667 0.437
0.667 0.333 0.894
0.333 0.667 0.563
0.333 0.667 0.221
0.667 0.333 0.106
0.333 0.667 0.779
0.667 0.333 0.330
0.667 0.333 0.670

=====

## 2
La6Sm2Y GGA-PBE relaxed; space group = Cmmm, No. 65
1.0
3.710 0.000 0.001
0.000 9.301 4.251
-0.001 1.712 10.082
Sm La Y
2 6 1
Direct
0.500 0.827 0.827
0.500 0.173 0.173
0.500 0.677 0.323
0.500 0.323 0.677
0.000 0.492 0.837
0.000 0.163 0.508
0.000 0.508 0.163
0.000 0.837 0.492
0.000 0.000 0.000

=====

Which of them is most stable, and which least? Most stable: 1; least stable: 2.

=====

## 1
LaSm12Y7 GGA-PBE relaxed; space group = R-3m, No. 166
1.0
-2.885 6.542 -5.257
-7.765 -4.081 1.347
0.395 4.549 7.610
Sm Y La
12 7 1
Direct
0.238 0.500 0.762
0.089 0.359 0.359
0.359 0.359 0.089
0.911 0.641 0.641
0.359 0.089 0.359
0.641 0.641 0.911
0.500 0.238 0.762
0.762 0.238 0.500
0.238 0.762 0.500
0.641 0.911 0.641
0.762 0.500 0.238
0.500 0.762 0.238
0.101 0.101 0.658
0.658 0.101 0.101
0.500 0.500 0.500
0.899 0.899 0.342
0.101 0.658 0.101
0.342 0.899 0.899
0.899 0.342 0.899
0.000 0.000 0.000

=====

## 2
LaSm12Y7 GGA-PBE relaxed; space group = Im-3, No. 204
1.0
-5.751 5.751 5.751
5.751 -5.751 5.751
5.751 5.751 -5.751
Sm Y La
12 7 1
Direct
0.487 0.743 0.744
0.257 0.744 0.001
0.999 0.743 0.256
0.744 0.487 0.743
0.744 0.001 0.257
0.513 0.257 0.256
0.257 0.256 0.513
0.001 0.257 0.744
0.256 0.999 0.743
0.743 0.256 0.999
0.743 0.744 0.487
0.256 0.513 0.257
0.500 0.500 0.000
0.500 0.000 0.000
0.500 0.500 0.500
0.500 0.000 0.500
0.000 0.000 0.500
0.000 0.500 0.500
0.000 0.500 0.000
0.000 0.000 0.000

=====

Which of them is most stable, and which least? Most stable: 1; least stable: 2.

=====

## 1
La2Sm7Y2 GGA-PBE relaxed; space group = P-1, No. 2
1.0
-1.166 -1.030 8.003
1.181 -6.015 -1.433
7.122 3.823 -0.940
Sm Y La
7 2 2
Direct
0.591 0.454 0.818
0.228 0.636 0.545
0.320 0.091 0.364
0.409 0.546 0.182
0.680 0.909 0.636
0.500 0.000 0.000
0.772 0.364 0.455
0.044 0.727 0.910
0.956 0.273 0.090
0.862 0.820 0.273
0.138 0.180 0.727

=====

## 2
La2Sm7Y2 GGA-PBE relaxed; space group = C2/m, No. 12
1.0
0.502 -7.756 3.533
2.341 -3.450 -5.344
6.363 0.300 2.318
La Sm Y
2 7 2
Direct
0.856 0.392 0.392
0.144 0.608 0.608
0.188 0.098 0.500
0.483 0.693 0.693
0.812 0.500 0.902
0.812 0.902 0.500
0.517 0.307 0.307
0.000 0.000 0.000
0.188 0.500 0.098
0.500 0.813 0.187
0.500 0.187 0.813

=====

Which of them is most stable, and which least? Most stable: 1; least stable: 2.

=====

## 1
La7Sm2Y GGA-PBE relaxed; space group = Cmmm, No. 65
1.0
-2.482 -2.371 1.000
5.771 -7.779 -4.117
2.727 1.392 10.069
Sm La Y
2 7 1
Direct
0.500 0.168 0.832
0.500 0.832 0.168
0.500 0.500 0.500
0.500 0.875 0.617
0.500 0.617 0.875
0.000 0.319 0.681
0.500 0.383 0.125
0.000 0.681 0.319
0.500 0.125 0.383
0.000 0.000 0.000

=====

## 2
La7Sm2Y GGA-PBE relaxed; space group = Cmmm, No. 65
1.0
5.668 0.000 0.000
0.000 9.329 -0.457
0.000 -4.617 8.119
La Y Sm
7 1 2
Direct
0.500 0.500 0.500
0.500 0.299 0.071
0.000 0.239 0.761
0.500 0.071 0.299
0.500 0.929 0.701
0.000 0.761 0.239
0.500 0.701 0.929
0.000 0.000 0.000
0.500 0.702 0.298
0.500 0.298 0.702

=====

Which of them is most stable, and which least? Most stable: 1; least stable: 2.

=====

## 1
La3Sm2Y2 GGA-PBE relaxed; space group = C2/m, No. 12
1.0
-2.417 2.572 0.466
-5.863 -5.956 2.466
6.415 2.473 6.022
Sm Y La
2 2 3
Direct
0.435 0.089 0.871
0.565 0.911 0.129
0.145 0.328 0.289
0.855 0.672 0.711
0.787 0.203 0.575
0.213 0.797 0.425
0.000 0.500 0.000

=====

## 2
La3Sm2Y2 GGA-PBE relaxed; space group = P-1, No. 2
1.0
3.610 -0.421 0.483
-0.778 11.860 2.184
1.178 1.173 6.130
Y La Sm
2 3 2
Direct
0.712 0.284 0.861
0.288 0.716 0.139
0.427 0.572 0.716
0.000 0.000 0.000
0.573 0.428 0.284
0.855 0.141 0.429
0.145 0.859 0.571

=====

Which of them is most stable, and which least? Most stable: 2; least stable: 1.

=====

## 1
La5Sm3Y GGA-PBE relaxed; space group = C2/c, No. 15
1.0
-1.635 9.333 3.320
0.112 -2.210 -8.915
-7.027 -5.028 10.674
La Sm Y
10 6 2
Direct
0.188 0.000 0.750
0.501 0.314 0.575
0.146 0.646 0.406
0.499 0.686 0.425
0.813 0.314 0.075
0.500 0.354 0.094
0.500 0.646 0.906
0.187 0.686 0.925
0.812 0.000 0.250
0.854 0.354 0.594
0.343 0.655 0.659
0.657 0.345 0.341
0.687 0.345 0.841
0.313 0.655 0.159
0.000 0.000 0.000
0.000 0.000 0.500
0.841 0.000 0.750
0.159 0.000 0.250

=====

## 2
La5Sm3Y GGA-PBE relaxed; space group = I4/mcm, No. 140
1.0
9.092 0.000 0.000
0.000 9.092 0.000
-4.546 -4.546 7.794
La Sm Y
10 6 2
Direct
0.500 0.500 0.000
0.430 0.349 0.280
0.349 0.849 0.280
0.070 0.570 0.720
0.000 0.000 0.000
0.930 0.430 0.280
0.849 0.930 0.280
0.570 0.651 0.720
0.651 0.151 0.720
0.151 0.070 0.720
0.614 0.114 0.000
0.386 0.886 0.000
0.886 0.614 0.000
0.114 0.386 0.000
0.750 0.750 0.500
0.250 0.250 0.500
0.250 0.750 0.500
0.750 0.250 0.500

=====

Which of them is most stable, and which least? Most stable: 1; least stable: 2.

=====

## 1
LaSm3Y3 GGA-PBE relaxed; space group = R3m, No. 160
1.0
7.232 0.000 0.000
-2.411 6.157 0.000
-2.411 -3.079 5.332
Y La Sm
3 1 3
Direct
0.601 0.630 0.630
0.971 0.000 0.370
0.971 0.370 0.000
0.494 0.000 0.000
0.457 0.000 0.434
0.023 0.566 0.566
0.457 0.434 0.000

=====

## 2
LaSm3Y3 GGA-PBE relaxed; space group = R-3, No. 148
1.0
7.915 0.410 3.973
2.624 7.479 3.973
0.548 0.410 8.840
La Y Sm
2 6 6
Direct
0.643 0.643 0.643
0.357 0.357 0.357
0.571 0.058 0.733
0.058 0.733 0.571
0.733 0.571 0.058
0.267 0.429 0.942
0.429 0.942 0.267
0.942 0.267 0.429
0.937 0.710 0.178
0.710 0.178 0.937
0.290 0.822 0.063
0.822 0.063 0.290
0.178 0.937 0.710
0.063 0.290 0.822

=====

Which of them is most stable, and which least? Most stable: 2; least stable: 1.